No. 1
# Cs2Li2GeO4 GGA-PBEsol optimized geometry
data_Cs2Li2GeO4
_space_group_name_H-M_alt 'P -1'
_space_group_IT_number 2
_space_group_name_Hall '-P 1'
_cell_length_a 5.6594
_cell_length_b 5.7938
_cell_length_c 9.3063
_cell_angle_alpha 84.39
_cell_angle_beta 76.08
_cell_angle_gamma 86.84
loop_
_atom_site_label
_atom_site_fract_x
_atom_site_fract_y
_atom_site_fract_z
Cs1 0.0170 0.1479 0.2860
Cs2 0.2867 0.7294 0.0158
Li1 0.1939 0.5876 0.4197
Li2 0.4313 0.1844 0.4394
Ge1 0.3612 0.3177 0.7092
O1 0.1429 0.3591 0.5963
O2 0.2319 0.2005 0.8895
O3 0.4030 0.8627 0.3973
O4 0.4800 0.4278 0.2858
# Raw formation energy   -16.6 eV per formula unit
# V   16.37 A^3/atom

No. 2
# CsGe3Mo GGA-PBEsol optimized geometry
data_CsGe3Mo
_space_group_name_H-M_alt 'P m -3 m'
_space_group_IT_number 221
_space_group_name_Hall '-P 4 2 3'
_cell_length_a 5.4285
_cell_length_b 5.4285
_cell_length_c 5.4285
_cell_angle_alpha 90.00
_cell_angle_beta 90.00
_cell_angle_gamma 90.00
loop_
_atom_site_label
_atom_site_fract_x
_atom_site_fract_y
_atom_site_fract_z
Cs1 0.0000 0.0000 0.0000
Ge1 0.0000 0.0000 0.5000
Mo1 0.5000 0.5000 0.5000
# DFT formation energy   2.542 eV/atom
# V   31.99 A^3/atom

No. 3
# CsGe2MoPd GGA-PBEsol optimized geometry
data_CsGe2MoPd
_space_group_name_H-M_alt 'P 4/m m m'
_space_group_IT_number 123
_space_group_name_Hall '-P 4 2'
_cell_length_a 5.3860
_cell_length_b 5.3860
_cell_length_c 5.0228
_cell_angle_alpha 90.00
_cell_angle_beta 90.00
_cell_angle_gamma 90.00
loop_
_atom_site_label
_atom_site_fract_x
_atom_site_fract_y
_atom_site_fract_z
Cs1 0.0000 0.0000 0.0000
Ge1 0.0000 0.5000 0.0000
Mo1 0.0000 0.0000 0.5000
Pd1 0.5000 0.5000 0.5000
# DFT formation energy   2.688 eV/atom
# V   29.14 A^3/atom

No. 4
# CsGeN2O GGA-PBEsol optimized geometry
data_CsGeN2O
_space_group_name_H-M_alt 'P 4/m m m'
_space_group_IT_number 123
_space_group_name_Hall '-P 4 2'
_cell_length_a 4.1715
_cell_length_b 4.1715
_cell_length_c 3.9241
_cell_angle_alpha 90.00
_cell_angle_beta 90.00
_cell_angle_gamma 90.00
loop_
_atom_site_label
_atom_site_fract_x
_atom_site_fract_y
_atom_site_fract_z
Cs1 0.0000 0.0000 0.0000
Ge1 0.5000 0.5000 0.5000
N1 0.0000 0.5000 0.5000
O1 0.5000 0.5000 0.0000
# Raw formation energy   2.5 eV per formula unit
# V   13.66 A^3/atom

No. 5
# CsGe2PdN GGA-PBEsol optimized geometry
data_CsGe2PdN
_space_group_name_H-M_alt 'P 4/m m m'
_space_group_IT_number 123
_space_group_name_Hall '-P 4 2'
_cell_length_a 4.2109
_cell_length_b 4.2109
_cell_length_c 5.7875
_cell_angle_alpha 90.00
_cell_angle_beta 90.00
_cell_angle_gamma 90.00
loop_
_atom_site_label
_atom_site_fract_x
_atom_site_fract_y
_atom_site_fract_z
Cs1 0.0000 0.0000 0.0000
Ge1 0.0000 0.5000 0.5000
Pd1 0.5000 0.5000 0.0000
N1 0.0000 0.0000 0.5000
# Raw formation energy   3.8 eV per formula unit
# V   20.52 A^3/atom

No. 6
# CsGeSeN2 GGA-PBEsol optimized geometry
data_CsGeSeN2
_space_group_name_H-M_alt 'P 4/m m m'
_space_group_IT_number 123
_space_group_name_Hall '-P 4 2'
_cell_length_a 4.1967
_cell_length_b 4.1967
_cell_length_c 6.0755
_cell_angle_alpha 90.00
_cell_angle_beta 90.00
_cell_angle_gamma 90.00
loop_
_atom_site_label
_atom_site_fract_x
_atom_site_fract_y
_atom_site_fract_z
Cs1 0.0000 0.0000 0.0000
Ge1 0.5000 0.5000 0.0000
Se1 0.0000 0.0000 0.5000
N1 0.0000 0.5000 0.5000
# Excess energy over the best structure of this formula in the dataset   0 meV/atom
# Raw formation energy   9.3 eV per formula unit
# V   21.40 A^3/atom

No. 7
# CsGeSeN2 GGA-PBEsol optimized geometry
data_CsGeSeN2
_space_group_name_H-M_alt 'P 4/m m m'
_space_group_IT_number 123
_space_group_name_Hall '-P 4 2'
_cell_length_a 4.2618
_cell_length_b 4.2618
_cell_length_c 6.7143
_cell_angle_alpha 90.00
_cell_angle_beta 90.00
_cell_angle_gamma 90.00
loop_
_atom_site_label
_atom_site_fract_x
_atom_site_fract_y
_atom_site_fract_z
Cs1 0.0000 0.0000 0.0000
Ge1 0.5000 0.5000 0.5000
Se1 0.0000 0.0000 0.5000
N1 0.0000 0.5000 0.0000
# Excess energy over the best structure of this formula in the dataset   324 meV/atom
# Raw formation energy   10.9 eV per formula unit
# V   24.39 A^3/atom

No. 8
# CsNaNbGe2 GGA-PBEsol optimized geometry
data_CsNaNbGe2
_space_group_name_H-M_alt 'P 4/m m m'
_space_group_IT_number 123
_space_group_name_Hall '-P 4 2'
_cell_length_a 5.1788
_cell_length_b 5.1788
_cell_length_c 5.3660
_cell_angle_alpha 90.00
_cell_angle_beta 90.00
_cell_angle_gamma 90.00
loop_
_atom_site_label
_atom_site_fract_x
_atom_site_fract_y
_atom_site_fract_z
Cs1 0.0000 0.0000 0.0000
Na1 0.5000 0.5000 0.5000
Nb1 0.5000 0.5000 0.0000
Ge1 0.0000 0.5000 0.5000
# DFT formation energy   1.379 eV/atom
# V   28.78 A^3/atom

No. 9
# CsNb3Ge GGA-PBEsol optimized geometry
data_CsNb3Ge
_space_group_name_H-M_alt 'P m -3 m'
_space_group_IT_number 221
_space_group_name_Hall '-P 4 2 3'
_cell_length_a 4.9767
_cell_length_b 4.9767
_cell_length_c 4.9767
_cell_angle_alpha 90.00
_cell_angle_beta 90.00
_cell_angle_gamma 90.00
loop_
_atom_site_label
_atom_site_fract_x
_atom_site_fract_y
_atom_site_fract_z
Cs1 0.0000 0.0000 0.0000
Nb1 0.0000 0.0000 0.5000
Ge1 0.5000 0.5000 0.5000
# DFT formation energy   2.660 eV/atom
# V   24.65 A^3/atom

No. 10
# CsNiGe3 GGA-PBEsol optimized geometry
data_CsNiGe3
_space_group_name_H-M_alt 'P m -3 m'
_space_group_IT_number 221
_space_group_name_Hall '-P 4 2 3'
_cell_length_a 4.8084
_cell_length_b 4.8084
_cell_length_c 4.8084
_cell_angle_alpha 90.00
_cell_angle_beta 90.00
_cell_angle_gamma 90.00
loop_
_atom_site_label
_atom_site_fract_x
_atom_site_fract_y
_atom_site_fract_z
Cs1 0.0000 0.0000 0.0000
Ni1 0.5000 0.5000 0.5000
Ge1 0.0000 0.5000 0.5000
# DFT formation energy   0.315 eV/atom
# V   22.24 A^3/atom

No. 11
# CsGeO2 GGA-PBEsol optimized geometry
data_CsGeO2
_space_group_name_H-M_alt 'R -3 m'
_space_group_IT_number 166
_space_group_name_Hall '-R 3 2"'
_cell_length_a 4.1115
_cell_length_b 4.1115
_cell_length_c 21.1224
_cell_angle_alpha 90.00
_cell_angle_beta 90.00
_cell_angle_gamma 120.00
loop_
_atom_site_label
_atom_site_fract_x
_atom_site_fract_y
_atom_site_fract_z
Cs1 0.0000 0.0000 0.0000
Ge1 0.0000 0.0000 0.5000
O1 0.0000 0.0000 0.4199
# Raw formation energy   -3.8 eV per formula unit
# V   25.77 A^3/atom

No. 12
# Cs2GeP4O13 GGA-PBEsol optimized geometry
data_Cs2GeP4O13
_space_group_name_H-M_alt 'P -1'
_space_group_IT_number 2
_space_group_name_Hall '-P 1'
_cell_length_a 5.0096
_cell_length_b 7.9161
_cell_length_c 15.8394
_cell_angle_alpha 84.89
_cell_angle_beta 84.31
_cell_angle_gamma 80.73
loop_
_atom_site_label
_atom_site_fract_x
_atom_site_fract_y
_atom_site_fract_z
Cs1 0.1759 0.2449 0.4887
Cs2 0.2265 0.1977 0.9719
Ge1 0.0481 0.4348 0.2413
P1 0.1654 0.9094 0.6941
P2 0.1817 0.8134 0.2123
P3 0.3884 0.7218 0.8478
P4 0.4812 0.5864 0.3357
O1 0.0144 0.0993 0.7117
O2 0.0497 0.6609 0.1922
O3 0.0520 0.2085 0.2903
O4 0.2104 0.4814 0.6704
O5 0.2258 0.5798 0.8293
O6 0.2373 0.9332 0.1383
O7 0.2957 0.8037 0.9286
O8 0.3064 0.3539 0.1542
O9 0.3069 0.9201 0.6078
O10 0.3247 0.4463 0.3115
O11 0.3646 0.8651 0.7677
O12 0.3818 0.6552 0.4192
O13 0.4485 0.7383 0.2585
# Raw formation energy   -43.5 eV per formula unit
# V   15.38 A^3/atom

Q: Number 5 is which compound?
A: CsGe2PdN

Q: What is the V in the third record?
A: 29.14 A^3/atom

Q: Number 6 is which compound?
A: CsGeSeN2